Record 1
A relaxed structure of LaNd6Co3, computed with PBE.

Properties
DFT formation energy in meV per atom: 45
Crystal system: orthorhombic

abc: 7.208 8.679 8.679
angles: 91.80 90.00 90.00
Fractional coordinates of all 20 atoms:
Nd 0.111 0.265 0.259
Nd 0.854 0.487 0.994
Nd 0.111 0.741 0.735
Nd 0.354 0.994 0.487
Nd 0.577 0.318 0.682
La 0.105 0.342 0.658
Nd 0.854 0.006 0.513
Nd 0.611 0.735 0.741
Nd 0.611 0.259 0.265
Nd 0.903 0.065 0.935
Nd 0.354 0.513 0.006
Co 0.321 0.029 0.777
Co 0.830 0.509 0.491
Co 0.330 0.491 0.509
Nd 0.077 0.682 0.318
Co 0.821 0.971 0.223
La 0.605 0.658 0.342
Nd 0.403 0.935 0.065
Co 0.821 0.777 0.029
Co 0.321 0.223 0.971

Record 2
A relaxed structure of LaNdCo, computed with PBE.

Properties
DFT formation energy in meV per atom: -97
Energy above the lowest structure with this stoichiometry in eV per atom: 0.000
Crystal system: triclinic

abc: 3.858 7.116 6.722
angles: 100.70 106.80 74.09
Fractional coordinates of all 6 atoms:
La 0.504 0.183 0.907
La 0.374 0.921 0.382
Co 0.037 0.859 0.649
Co 0.841 0.245 0.640
Nd 0.744 0.659 0.864
Nd 0.133 0.444 0.425

Record 3
A relaxed structure of La2NdCo, computed with PBE.

Properties
DFT formation energy in meV per atom: -6
Energy above the lowest structure with this stoichiometry in eV per atom: 0.083
Crystal system: trigonal

abc: 3.928 3.928 9.668
angles: 78.28 78.28 60.00
Fractional coordinates of all 4 atoms:
La 0.278 0.278 0.167
Co 0.666 0.666 0.002
Nd 0.500 0.500 0.499
La 0.056 0.056 0.832

Record 4
A relaxed structure of La3Nd2Co, computed with PBE.

Properties
DFT formation energy in meV per atom: 24
Crystal system: monoclinic

abc: 5.737 7.556 9.877
angles: 101.01 106.88 90.00
Fractional coordinates of all 12 atoms:
La 0.488 0.750 0.000
La 0.104 0.552 0.208
La 0.896 0.448 0.792
Co 0.973 0.750 0.000
Nd 0.718 0.609 0.435
Co 0.027 0.250 0.000
La 0.896 0.948 0.792
La 0.512 0.250 0.000
Nd 0.283 0.891 0.565
Nd 0.282 0.391 0.565
Nd 0.717 0.109 0.435
La 0.104 0.052 0.208